Record 1
# In2CoTe2

A relaxed structure of In2CoTe2 (PBE, Alexandria).

Cell: 6.5852 6.5852 6.4290 Å, 90.00 90.00 90.00°
Element x y z (fractional)
1 In 0.2421 0.2579 0.0000
2 In 0.2579 0.7579 0.0000
3 In 0.7421 0.2421 0.0000
4 In 0.7579 0.7421 0.0000
5 Co 0.0000 0.0000 0.5000
6 Co 0.5000 0.5000 0.5000
7 Te 0.1564 0.3436 0.5000
8 Te 0.3436 0.8436 0.5000
9 Te 0.6564 0.1564 0.5000
10 Te 0.8436 0.6564 0.5000

Summary:
Formation energy (no corrections): 0.121 eV/atom
Space group: No. 127

=====

Record 2
# Sr2SnO

A relaxed structure of Sr2SnO (PBE, Alexandria).

Cell: 5.4267 5.4267 5.4267 Å, 60.00 60.00 60.00°
Element x y z (fractional)
1 Sr 0.2500 0.2500 0.2500
2 Sr 0.7500 0.7500 0.7500
3 Sn 0.0000 0.0000 0.0000
4 O 0.5000 0.5000 0.5000

Summary:
Formation energy (no corrections): -0.595 eV/atom
Space group: No. 225